Entry 1:
The following is a GGA-PBE calculation of a relaxed structure of SnBi3Se6, from Alexandria. Values from VASP.

```
&SYSTEM
  ibrav = 0, nat = 10, ntyp = 3
/
ATOMIC_SPECIES
Sn 118.71 Sn.upf
Se 78.96 Se.upf
Bi 208.98 Bi.upf
CELL_PARAMETERS angstrom
-3.640 -1.001 6.343
3.383 1.269 6.437
-2.126 6.410 4.086
ATOMIC_POSITIONS angstrom
Sn -1.190 3.160 12.701
Se -0.201 5.306 6.345
Se 1.819 2.601 8.663
Se -0.757 5.247 10.752
Se -4.109 4.092 8.075
Se -2.117 1.386 10.666
Se -1.772 1.372 6.099
Bi -2.129 6.245 8.353
Bi -1.197 3.533 4.165
Bi -0.259 0.450 8.513
```

Results
- VASP energy (eV per cell) = -39.68

Entry 2:
The following is a GGA-PBE calculation of a relaxed structure of AcErNiRu, from Alexandria. Values from VASP.

```
&SYSTEM
  ibrav = 0, nat = 4, ntyp = 4
/
ATOMIC_SPECIES
Ru 101.07 Ru.upf
Ac 227.00 Ac.upf
Ni 58.69 Ni.upf
Er 167.26 Er.upf
CELL_PARAMETERS angstrom
-0.971 1.081 4.770
2.294 -2.515 3.643
3.454 2.260 2.797
ATOMIC_POSITIONS angstrom
Ru 3.583 0.620 8.408
Ac 0.000 0.000 0.000
Ni 1.194 0.207 2.803
Er 2.389 0.413 5.605
```

Results
- ΔE_f (meV/atom) = -166

Entry 3:
The following is a GGA-PBE calculation of a relaxed structure of TbPrC, from Alexandria. Values from VASP.

```
&SYSTEM
  ibrav = 0, nat = 12, ntyp = 3
/
ATOMIC_SPECIES
C 12.01 C.upf
Tb 158.93 Tb.upf
Pr 140.91 Pr.upf
CELL_PARAMETERS angstrom
-5.464 -1.302 -2.981
0.353 -7.086 2.448
-3.194 1.619 5.147
ATOMIC_POSITIONS angstrom
C -4.820 -5.607 4.502
C -2.088 -4.956 5.992
C -3.485 -1.163 0.113
C -0.753 -0.512 1.603
Tb -2.444 -6.030 3.722
Tb -3.978 -7.288 0.302
Tb -4.327 0.519 4.313
Tb -5.861 -0.739 0.893
Pr -4.282 -3.280 -0.891
Pr -4.022 -3.489 5.506
Pr -5.771 -4.639 2.431
Pr -2.533 -2.131 2.183
```

Results
- ΔE_f (meV/atom) = -40

Entry 4:
The following is a GGA-PBE calculation of a relaxed structure of LiThInBr6, from Alexandria. Values from VASP.

```
&SYSTEM
  ibrav = 0, nat = 18, ntyp = 4
/
ATOMIC_SPECIES
Br 79.90 Br.upf
In 114.82 In.upf
Th 232.04 Th.upf
Li 6.94 Li.upf
CELL_PARAMETERS angstrom
7.288 0.000 0.000
-3.644 6.312 0.000
0.000 0.000 14.555
ATOMIC_POSITIONS angstrom
Br 0.982 6.278 5.260
Br 2.662 0.034 9.295
Br 4.946 3.989 12.537
Br -0.982 6.278 2.018
Br -1.302 2.323 2.018
Br 1.361 2.289 12.537
Br 2.342 3.989 9.295
Br 4.626 0.034 12.537
Br 1.302 2.323 5.260
Br 2.283 4.023 2.018
Br 5.928 2.289 9.295
Br -2.283 4.023 5.260
In 0.000 0.000 7.278
In 0.000 0.000 0.000
Th 3.644 2.104 3.639
Th 0.000 4.208 10.916
Li 3.644 2.104 10.916
Li 0.000 4.208 3.639
```

Results
- VASP energy (eV per cell) = -70.50